[1]
{
  "formula": "NaLi2TcCl",
  "functional": "SCAN",
  "state": "PBEsol geometry",
  "e_form_raw_ev_per_fu": 1.29,
  "density_g_cm3": 2.999,
  "lattice": [[-2.9486, -3.0947, 0.9065], [3.4283, -3.0155, 0.8567], [0.0188, 1.2893, 4.4629]],
  "species": ["Na", "Tc", "Cl", "Li", "Li"],
  "fractional_positions": [[0.5000, 0.5000, 0.5000], [0.5000, 0.0000, 0.0000], [0.0000, 0.0000, 0.0000], [0.0000, 0.5000, 0.0000], [0.0000, 0.0000, 0.5000]]
}


[2]
{
  "formula": "Fe2NiRh",
  "functional": "SCAN",
  "state": "PBEsol geometry",
  "energy_ev_per_fu": -86.699,
  "density_g_cm3": 9.525,
  "lattice": [[2.8763, 0.0000, 0.0000], [0.0000, 4.0809, 0.0000], [-1.4382, -2.0405, 4.0590]],
  "species": ["Fe", "Fe", "Rh", "Ni"],
  "fractional_positions": [[0.0105, 0.0105, 0.0210], [0.7472, 0.2472, 0.4943], [0.2553, 0.7553, 0.5105], [0.4871, 0.4871, 0.9741]]
}


[3]
{
  "formula": "GaReRh2W",
  "functional": "SCAN",
  "state": "PBEsol geometry",
  "energy_ev_per_fu": -215.744,
  "density_g_cm3": 11.050,
  "lattice": [[-0.3885, -0.5936, -4.5333], [2.6162, -3.7600, 0.2681], [-3.7652, -2.5728, 0.6596]],
  "species": ["Re", "Rh", "Rh", "Ga", "W"],
  "fractional_positions": [[0.0000, 0.0000, 0.0000], [0.5000, 0.0000, 0.0000], [0.0000, 0.5000, 0.0000], [0.0000, 0.0000, 0.5000], [0.5000, 0.5000, 0.5000]]
}


[4]
{
  "formula": "MgAsF2",
  "functional": "SCAN",
  "state": "PBEsol geometry",
  "e_form_raw_ev_per_fu": -7.96,
  "density_g_cm3": 3.313,
  "polymorph_energy_mev_per_atom": 475,
  "lattice": [[5.7957, 0.0000, 0.0000], [-2.8978, 5.0170, 0.0150], [0.0000, 3.3334, 4.7411]],
  "species": ["As", "As", "F", "F", "F", "F", "Mg", "Mg"],
  "fractional_positions": [[0.0000, 0.0000, 0.0000], [0.7500, 0.5000, 0.7500], [0.3750, 0.2500, 0.2936], [0.4564, 0.7500, 0.3750], [0.8750, 0.2500, 0.4564], [0.2936, 0.7500, 0.8750], [0.2500, 0.5000, 0.2500], [0.5000, 0.0000, 0.5000]]
}


[5]
{
  "formula": "TiAlIn3",
  "functional": "SCAN",
  "state": "PBEsol geometry",
  "energy_ev_per_fu": -120.776,
  "density_g_cm3": 4.741,
  "lattice": [[-4.0042, 3.4247, 0.2737], [-2.7050, -2.8834, -3.4938], [-2.1182, -2.7919, 3.9441]],
  "species": ["In", "In", "In", "Ti", "Al"],
  "fractional_positions": [[0.0000, 0.0000, 0.5000], [0.5000, 0.0000, 0.0000], [0.0000, 0.5000, 0.0000], [0.0000, 0.0000, 0.0000], [0.5000, 0.5000, 0.5000]]
}


[6]
{
  "formula": "SrAgP2",
  "functional": "SCAN",
  "state": "PBEsol geometry",
  "energy_ev_per_fu": -75.252,
  "density_g_cm3": 5.196,
  "lattice": [[3.6810, 0.0000, 0.0000], [0.0000, 3.6810, 0.0000], [0.0000, 0.0000, 6.0715]],
  "species": ["Ag", "Sr", "P", "P"],
  "fractional_positions": [[0.5000, 0.5000, 0.5000], [0.5000, 0.5000, 0.0000], [0.0000, 0.0000, 0.6810], [0.0000, 0.0000, 0.3190]]
}


[7]
{
  "formula": "GaTcCS2",
  "functional": "SCAN",
  "state": "PBEsol geometry",
  "e_form_raw_ev_per_fu": 6.91,
  "density_g_cm3": 5.018,
  "lattice": [[-2.1782, -1.2287, 2.6890], [-2.6657, -2.2018, -3.1654], [2.6714, -3.8296, 0.4141]],
  "species": ["C", "S", "S", "Ga", "Tc"],
  "fractional_positions": [[0.5000, 0.0000, 0.0000], [0.0000, 0.0000, 0.5000], [0.0000, 0.5000, 0.0000], [0.0000, 0.0000, 0.0000], [0.5000, 0.5000, 0.5000]]
}


[8]
{
  "formula": "Be2FeBr",
  "functional": "SCAN",
  "state": "PBEsol geometry",
  "e_form_raw_ev_per_fu": 2.97,
  "density_g_cm3": 5.346,
  "polymorph_energy_mev_per_atom": 424,
  "lattice": [[2.8700, 0.0000, 0.0000], [0.0000, 4.2122, -0.0007], [0.0000, -1.4590, 3.9514]],
  "species": ["Be", "Be", "Fe", "Br"],
  "fractional_positions": [[0.0000, 0.0000, 0.5000], [0.0000, 0.5000, 0.0000], [0.5000, 0.5000, 0.5000], [0.5000, 0.0000, 0.0000]]
}


[9]
{
  "formula": "P2PdO2",
  "functional": "SCAN",
  "state": "PBEsol geometry",
  "e_form_raw_ev_per_fu": 5.35,
  "density_g_cm3": 4.235,
  "lattice": [[3.7143, 0.0000, 0.0000], [0.0000, 4.5992, 0.0000], [0.0000, 0.0000, 4.5992]],
  "species": ["O", "O", "Pd", "P", "P"],
  "fractional_positions": [[0.5000, 0.5000, 0.5000], [0.5000, 0.0000, 0.0000], [0.0000, 0.0000, 0.0000], [0.0000, 0.5000, 0.0000], [0.0000, 0.0000, 0.5000]]
}


[10]
{
  "formula": "AgP2IO",
  "functional": "SCAN",
  "state": "PBEsol geometry",
  "e_form_raw_ev_per_fu": 4.63,
  "density_g_cm3": 5.550,
  "lattice": [[3.9665, 0.0000, 0.0000], [0.0000, 4.8570, 0.0000], [0.0000, 0.0000, 4.8570]],
  "species": ["P", "P", "O", "Ag", "I"],
  "fractional_positions": [[0.0000, 0.0000, 0.5000], [0.0000, 0.5000, 0.0000], [0.5000, 0.0000, 0.0000], [0.0000, 0.0000, 0.0000], [0.5000, 0.5000, 0.5000]]
}


[11]
{
  "formula": "Be2TePRh",
  "functional": "SCAN",
  "state": "PBEsol geometry",
  "e_form_raw_ev_per_fu": 6.41,
  "density_g_cm3": 4.850,
  "lattice": [[-0.6587, 4.3161, -0.7079], [-2.9734, 0.0832, 3.2736], [3.5472, 1.0653, 3.1949]],
  "species": ["P", "Be", "Be", "Rh", "Te"],
  "fractional_positions": [[0.5000, 0.5000, 0.5000], [0.5000, 0.0000, 0.0000], [0.0000, 0.5000, 0.0000], [0.0000, 0.0000, 0.5000], [0.0000, 0.0000, 0.0000]]
}


[12]
{
  "formula": "Co2SbPt",
  "functional": "SCAN",
  "state": "PBEsol geometry",
  "e_form_raw_ev_per_fu": 0.31,
  "density_g_cm3": 13.226,
  "lattice": [[3.9470, 0.0000, 0.0000], [-1.9735, 4.0206, 0.0438], [0.0000, 1.8997, 3.4598]],
  "species": ["Sb", "Pt", "Co", "Co"],
  "fractional_positions": [[0.5000, 0.0000, 0.5000], [0.0000, 0.0000, 0.0000], [0.2500, 0.5000, 0.2500], [0.7500, 0.5000, 0.7500]]
}